a:
## CaTe2I (PBE-GGA)

Data for a relaxed CaTe2I crystal.

Cell lengths 4.4965, 4.4965, 27.1601 Å; angles 90.00, 90.00, 90.00 degrees
Space group I-42d (No. 122)
Inequivalent atoms, fractional coordinates:
Ca: 0.0000 0.0000 0.0000
Te: 0.2376 0.2500 0.1250
I: 0.0000 0.0000 0.5000

## Properties
Its volume is 34.32 Å³/atom. Its total magnetization is 0.00 μB per cell. The density comes out at 5107 kg/m3.

---

b:
## CaTe2I (PBE-GGA)

Data for a relaxed CaTe2I crystal.

Cell lengths 8.0104, 8.0104, 8.0104 Å; angles 90.00, 90.00, 90.00 degrees
Space group Fm-3m (No. 225)
Inequivalent atoms, fractional coordinates:
Ca: 0.0000 0.0000 0.0000
Te: 0.2500 0.2500 0.2500
I: 0.0000 0.0000 0.5000

## Properties
Its volume is 32.13 Å³/atom. Its total magnetization is 0.00 μB per cell. The density comes out at 5456 kg/m3.

---

Name the most stable of them. a.

---

a:
## Ca2Te2I (PBE-GGA)

Data for a relaxed Ca2Te2I crystal.

Cell lengths 5.8379, 5.8379, 10.7940 Å; angles 90.00, 90.00, 90.00 degrees
Space group I4/mmm (No. 139)
Inequivalent atoms, fractional coordinates:
Ca: 0.0000 0.5000 0.2500
Te: 0.0000 0.0000 0.1501
I: 0.0000 0.0000 0.5000

## Properties
Its volume is 36.79 Å³/atom. Its total magnetization is 0.00 μB per cell. The density comes out at 4173 kg/m3.

---

b:
## Ca2Te2I (PBE-GGA)

Data for a relaxed Ca2Te2I crystal.

Cell lengths 8.7856, 8.7856, 4.1427 Å; angles 90.00, 90.00, 90.00 degrees
Space group P4/mbm (No. 127)
Inequivalent atoms, fractional coordinates:
Ca: 0.1591 0.3409 0.0000
Te: 0.1413 0.6413 0.5000
I: 0.0000 0.0000 0.0000

## Properties
Its volume is 31.98 Å³/atom. Its total magnetization is 0.00 μB per cell. The density comes out at 4801 kg/m3.

---

Name the most stable of them. b.

---

a:
## CaTeI2 (PBE-GGA)

Data for a relaxed CaTeI2 crystal.

Cell lengths 11.2637, 11.2637, 6.1703 Å; angles 90.00, 90.00, 90.00 degrees
Space group I-42d (No. 122)
Inequivalent atoms, fractional coordinates:
Ca: 0.0000 0.0000 0.0000
Te: 0.0000 0.0000 0.5000
I: 0.0883 0.2500 0.1250

## Properties
Its volume is 48.93 Å³/atom. Its total magnetization is 5.35 μB per cell. The density comes out at 3576 kg/m3.

---

b:
## CaTeI2 (PBE-GGA)

Data for a relaxed CaTeI2 crystal.

Cell lengths 8.2182, 8.2182, 8.2182 Å; angles 90.00, 90.00, 90.00 degrees
Space group Fm-3m (No. 225)
Inequivalent atoms, fractional coordinates:
Ca: 0.0000 0.0000 0.0000
Te: 0.0000 0.0000 0.5000
I: 0.2500 0.2500 0.2500

## Properties
Its volume is 34.69 Å³/atom. Its total magnetization is 8.00 μB per cell. The density comes out at 5044 kg/m3.

---

Name the most stable of them. a.

---

a:
## CaTi3I (PBE-GGA)

Data for a relaxed CaTi3I crystal.

Cell lengths 5.0720, 5.0720, 5.0720 Å; angles 90.00, 90.00, 90.00 degrees
Space group Pm-3m (No. 221)
Inequivalent atoms, fractional coordinates:
Ca: 0.0000 0.0000 0.0000
Ti: 0.0000 0.5000 0.5000
I: 0.5000 0.5000 0.5000

## Properties
Its volume is 26.10 Å³/atom. Its total magnetization is 0.36 μB per cell. The density comes out at 3953 kg/m3.

---

b:
## CaTi3I (PBE-GGA)

Data for a relaxed CaTi3I crystal.

Cell lengths 5.0298, 5.0298, 5.0298 Å; angles 90.00, 90.00, 90.00 degrees
Space group Pm-3m (No. 221)
Inequivalent atoms, fractional coordinates:
Ca: 0.0000 0.0000 0.0000
Ti: 0.0000 0.0000 0.5000
I: 0.5000 0.5000 0.5000

## Properties
Its volume is 25.45 Å³/atom. Its total magnetization is 4.21 μB per cell. The density comes out at 4053 kg/m3.

---

Name the most stable of them. a.

---

a:
## CaYTi2I (PBE-GGA)

Data for a relaxed CaYTi2I crystal.

Cell lengths 5.0920, 5.0920, 5.6150 Å; angles 90.00, 90.00, 90.00 degrees
Space group P4/mmm (No. 123)
Inequivalent atoms, fractional coordinates:
Ca: 0.0000 0.0000 0.0000
Y: 0.5000 0.5000 0.0000
Ti: 0.0000 0.5000 0.5000
I: 0.0000 0.0000 0.5000

## Properties
Its volume is 29.12 Å³/atom. Its total magnetization is 0.00 μB per cell. The density comes out at 4011 kg/m3.

---

b:
## CaYTi2I (PBE-GGA)

Data for a relaxed CaYTi2I crystal.

Cell lengths 5.1041, 5.1041, 5.6663 Å; angles 90.00, 90.00, 90.00 degrees
Space group P4/mmm (No. 123)
Inequivalent atoms, fractional coordinates:
Ca: 0.0000 0.0000 0.0000
Y: 0.5000 0.5000 0.0000
Ti: 0.0000 0.5000 0.5000
I: 0.5000 0.5000 0.5000

## Properties
Its volume is 29.52 Å³/atom. Its total magnetization is 0.00 μB per cell. The density comes out at 3955 kg/m3.

---

Name the most stable of them. b.

---

a:
## CaTl2I2 (PBE-GGA)

Data for a relaxed CaTl2I2 crystal.

Cell lengths 4.2013, 4.2013, 24.6706 Å; angles 90.00, 90.00, 90.00 degrees
Space group I4/mmm (No. 139)
Inequivalent atoms, fractional coordinates:
Ca: 0.0000 0.0000 0.0000
Tl: 0.0000 0.5000 0.2500
I: 0.0000 0.0000 0.4254

## Properties
Its volume is 43.55 Å³/atom. Its total magnetization is 0.00 μB per cell. The density comes out at 5359 kg/m3.

---

b:
## CaTl2I2 (PBE-GGA)

Data for a relaxed CaTl2I2 crystal.

Cell lengths 8.1979, 8.1979, 5.9221 Å; angles 90.00, 90.00, 90.00 degrees
Space group P4/mbm (No. 127)
Inequivalent atoms, fractional coordinates:
Ca: 0.0000 0.0000 0.0000
Tl: 0.1725 0.3275 0.5000
I: 0.1676 0.6676 0.0000

## Properties
Its volume is 39.80 Å³/atom. Its total magnetization is 0.00 μB per cell. The density comes out at 5863 kg/m3.

---

Name the most stable of them. a.

---

a:
## CaTl2I (PBE-GGA)

Data for a relaxed CaTl2I crystal.

Cell lengths 9.3892, 9.3892, 6.5183 Å; angles 90.00, 90.00, 90.00 degrees
Space group I-42d (No. 122)
Inequivalent atoms, fractional coordinates:
Ca: 0.0000 0.0000 0.0000
Tl: 0.2407 0.2500 0.1250
I: 0.0000 0.0000 0.5000

## Properties
Its volume is 35.91 Å³/atom. Its total magnetization is 0.00 μB per cell. The density comes out at 6655 kg/m3.

---

b:
## CaTl2I (PBE-GGA)

Data for a relaxed CaTl2I crystal.

Cell lengths 8.2204, 8.2204, 8.2204 Å; angles 90.00, 90.00, 90.00 degrees
Space group Fm-3m (No. 225)
Inequivalent atoms, fractional coordinates:
Ca: 0.0000 0.0000 0.0000
Tl: 0.2500 0.2500 0.2500
I: 0.0000 0.0000 0.5000

## Properties
Its volume is 34.72 Å³/atom. Its total magnetization is 0.00 μB per cell. The density comes out at 6884 kg/m3.

---

Name the most stable of them. a.

---

a:
## CaTl3I (PBE-GGA)

Data for a relaxed CaTl3I crystal.

Cell lengths 6.2893, 6.2893, 6.2893 Å; angles 90.00, 90.00, 90.00 degrees
Space group Pm-3m (No. 221)
Inequivalent atoms, fractional coordinates:
Ca: 0.0000 0.0000 0.0000
Tl: 0.0000 0.5000 0.5000
I: 0.5000 0.5000 0.5000

## Properties
Its volume is 49.76 Å³/atom. Its total magnetization is 0.00 μB per cell. The density comes out at 5207 kg/m3.

---

b:
## CaTl3I (PBE-GGA)

Data for a relaxed CaTl3I crystal.

Cell lengths 6.1562, 6.1562, 6.1562 Å; angles 90.00, 90.00, 90.00 degrees
Space group Pm-3m (No. 221)
Inequivalent atoms, fractional coordinates:
Ca: 0.0000 0.0000 0.0000
Tl: 0.0000 0.0000 0.5000
I: 0.5000 0.5000 0.5000

## Properties
Its volume is 46.66 Å³/atom. Its total magnetization is 0.00 μB per cell. The density comes out at 5552 kg/m3.

---

Name the most stable of them. a.